[1]
# GaCo3Rh | the Alexandria database | PBE | relaxed
data_GaCo3Rh
_chemical_formula_sum 'Ga1 Co3 Rh1'
_cell_length_a 4.5383
_cell_length_b 4.5383
_cell_length_c 4.5383
_cell_angle_alpha 90.00
_cell_angle_beta 90.00
_cell_angle_gamma 90.00
_symmetry_space_group_name_H-M 'P 1'
_symmetry_Int_Tables_number 1
loop_
_symmetry_equiv_pos_as_xyz
'x,y,z'
loop_
_atom_site_label
_atom_site_type_symbol
_atom_site_fract_x
_atom_site_fract_y
_atom_site_fract_z
Ga1 Ga 0.0000 0.0000 0.0000
Co1 Co 0.0000 0.5000 0.5000
Co2 Co 0.5000 0.0000 0.5000
Co3 Co 0.5000 0.5000 0.0000
Rh1 Rh 0.5000 0.5000 0.5000
# Space-group type: Pm-3m, No. 221
# Size of the total moment in Bohr magnetons per cell: 6.70
# Formation enthalpy at 0 K in eV per atom: 1.23
# Polymorph energy (0 for the lowest one) in meV/atom: 112

[2]
# FeGeMo2N | the Alexandria database | PBE | relaxed
data_FeGeMo2N
_chemical_formula_sum 'Fe1 Ge1 Mo2 N1'
_cell_length_a 4.1435
_cell_length_b 4.1435
_cell_length_c 3.7605
_cell_angle_alpha 90.00
_cell_angle_beta 90.00
_cell_angle_gamma 90.00
_symmetry_space_group_name_H-M 'P 1'
_symmetry_Int_Tables_number 1
loop_
_symmetry_equiv_pos_as_xyz
'x,y,z'
loop_
_atom_site_label
_atom_site_type_symbol
_atom_site_fract_x
_atom_site_fract_y
_atom_site_fract_z
Fe1 Fe 0.0000 0.0000 0.0000
Ge1 Ge 0.5000 0.5000 0.0000
Mo1 Mo 0.0000 0.5000 0.5000
Mo2 Mo 0.5000 0.0000 0.5000
N1 N 0.0000 0.0000 0.5000
# Space-group type: P4/mmm, No. 123
# Electronic total energy in eV per atom: -8.71
# Size of the total moment in Bohr magnetons per cell: 1.67

[3]
# RePCl4 | the Alexandria database | PBE | relaxed
data_RePCl4
_chemical_formula_sum 'Re1 P1 Cl4'
_cell_length_a 5.7105
_cell_length_b 5.7105
_cell_length_c 5.7105
_cell_angle_alpha 60.00
_cell_angle_beta 60.00
_cell_angle_gamma 60.00
_symmetry_space_group_name_H-M 'P 1'
_symmetry_Int_Tables_number 1
loop_
_symmetry_equiv_pos_as_xyz
'x,y,z'
loop_
_atom_site_label
_atom_site_type_symbol
_atom_site_fract_x
_atom_site_fract_y
_atom_site_fract_z
Re1 Re 0.0000 0.0000 0.0000
P1 P 0.2500 0.2500 0.2500
Cl1 Cl 0.1222 0.6259 0.6259
Cl2 Cl 0.6259 0.1222 0.6259
Cl3 Cl 0.6259 0.6259 0.1222
Cl4 Cl 0.6259 0.6259 0.6259
# Space-group type: F-43m, No. 216
# Electronic total energy in eV per atom: -2.55
# Size of the total moment in Bohr magnetons per cell: 1.49

[4]
# TeAs2Rh | the Alexandria database | PBE | relaxed
data_TeAs2Rh
_chemical_formula_sum 'Te1 As2 Rh1'
_cell_length_a 4.7172
_cell_length_b 4.7172
_cell_length_c 3.4601
_cell_angle_alpha 90.00
_cell_angle_beta 90.00
_cell_angle_gamma 90.00
_symmetry_space_group_name_H-M 'P 1'
_symmetry_Int_Tables_number 1
loop_
_symmetry_equiv_pos_as_xyz
'x,y,z'
loop_
_atom_site_label
_atom_site_type_symbol
_atom_site_fract_x
_atom_site_fract_y
_atom_site_fract_z
Te1 Te 0.0000 0.0000 0.0000
As1 As 0.0000 0.5000 0.5000
As2 As 0.5000 0.0000 0.5000
Rh1 Rh 0.5000 0.5000 0.0000
# Space-group type: P4/mmm, No. 123
# Electronic total energy in eV per atom: -4.55
# Size of the total moment in Bohr magnetons per cell: 0.00

[5]
# Pm3ErTm3 | the Alexandria database | PBE | relaxed
data_Pm3ErTm3
_chemical_formula_sum 'Pm6 Er2 Tm6'
_cell_length_a 14.7033
_cell_length_b 14.7033
_cell_length_c 14.7033
_cell_angle_alpha 24.23
_cell_angle_beta 24.23
_cell_angle_gamma 24.23
_symmetry_space_group_name_H-M 'P 1'
_symmetry_Int_Tables_number 1
loop_
_symmetry_equiv_pos_as_xyz
'x,y,z'
loop_
_atom_site_label
_atom_site_type_symbol
_atom_site_fract_x
_atom_site_fract_y
_atom_site_fract_z
Pm1 Pm 0.1311 0.4614 0.8000
Pm2 Pm 0.2000 0.8689 0.5386
Pm3 Pm 0.4614 0.8000 0.1311
Pm4 Pm 0.5386 0.2000 0.8689
Pm5 Pm 0.8000 0.1311 0.4614
Pm6 Pm 0.8689 0.5386 0.2000
Er1 Er 0.3333 0.3333 0.3333
Er2 Er 0.6667 0.6667 0.6667
Tm1 Tm 0.0644 0.7311 0.3980
Tm2 Tm 0.2689 0.6020 0.9356
Tm3 Tm 0.3980 0.0644 0.7311
Tm4 Tm 0.6020 0.9356 0.2689
Tm5 Tm 0.7311 0.3980 0.0644
Tm6 Tm 0.9356 0.2689 0.6020
# Space-group type: R-3, No. 148
# Size of the total moment in Bohr magnetons per cell: 0.00
# Formation enthalpy at 0 K in eV per atom: 0.17
# Polymorph energy (0 for the lowest one) in meV/atom: 154

[6]
# ReAsPt2 | the Alexandria database | PBE | relaxed
data_ReAsPt2
_chemical_formula_sum 'Re1 As1 Pt2'
_cell_length_a 3.8102
_cell_length_b 3.8102
_cell_length_c 4.2777
_cell_angle_alpha 90.00
_cell_angle_beta 90.00
_cell_angle_gamma 90.00
_symmetry_space_group_name_H-M 'P 1'
_symmetry_Int_Tables_number 1
loop_
_symmetry_equiv_pos_as_xyz
'x,y,z'
loop_
_atom_site_label
_atom_site_type_symbol
_atom_site_fract_x
_atom_site_fract_y
_atom_site_fract_z
Re1 Re 0.0000 0.0000 0.0000
As1 As 0.5000 0.5000 0.0000
Pt1 Pt 0.0000 0.5000 0.5000
Pt2 Pt 0.5000 0.0000 0.5000
# Space-group type: P4/mmm, No. 123
# Size of the total moment in Bohr magnetons per cell: 0.00
# Formation enthalpy at 0 K in eV per atom: 0.24

[7]
# Li5Br | the Alexandria database | PBE | relaxed
data_Li5Br
_chemical_formula_sum 'Li5 Br1'
_cell_length_a 6.1441
_cell_length_b 6.1441
_cell_length_c 3.9444
_cell_angle_alpha 90.00
_cell_angle_beta 90.00
_cell_angle_gamma 120.00
_symmetry_space_group_name_H-M 'P 1'
_symmetry_Int_Tables_number 1
loop_
_symmetry_equiv_pos_as_xyz
'x,y,z'
loop_
_atom_site_label
_atom_site_type_symbol
_atom_site_fract_x
_atom_site_fract_y
_atom_site_fract_z
Li1 Li 0.0000 0.6979 0.0000
Li2 Li 0.3021 0.3021 0.0000
Li3 Li 0.3333 0.6667 0.5000
Li4 Li 0.6667 0.3333 0.5000
Li5 Li 0.6979 0.0000 0.0000
Br1 Br 0.0000 0.0000 0.5000
# Space-group type: P-62m, No. 189
# Size of the total moment in Bohr magnetons per cell: 0.00
# Polymorph energy (0 for the lowest one) in meV/atom: 53

[8]
# Na4Np3AlN8 | the Alexandria database | PBE | relaxed
data_Na4Np3AlN8
_chemical_formula_sum 'Na4 Np3 Al1 N8'
_cell_length_a 6.7139
_cell_length_b 6.7139
_cell_length_c 6.8519
_cell_angle_alpha 119.29
_cell_angle_beta 119.29
_cell_angle_gamma 59.83
_symmetry_space_group_name_H-M 'P 1'
_symmetry_Int_Tables_number 1
loop_
_symmetry_equiv_pos_as_xyz
'x,y,z'
loop_
_atom_site_label
_atom_site_type_symbol
_atom_site_fract_x
_atom_site_fract_y
_atom_site_fract_z
Na1 Na 0.0000 0.0000 0.0000
Na2 Na 0.0000 0.5000 0.0000
Na3 Na 0.5000 0.0000 0.0000
Na4 Na 0.5000 0.5000 0.0000
Np1 Np 0.0000 0.0000 0.5000
Np2 Np 0.0000 0.5000 0.5000
Np3 Np 0.5000 0.0000 0.5000
Al1 Al 0.5000 0.5000 0.5000
N1 N 0.2271 0.7281 0.6831
N2 N 0.2290 0.2290 0.6863
N3 N 0.2703 0.2703 0.3156
N4 N 0.2719 0.7729 0.3169
N5 N 0.7281 0.2271 0.6831
N6 N 0.7297 0.7297 0.6844
N7 N 0.7710 0.7710 0.3137
N8 N 0.7729 0.2719 0.3169
# Space-group type: C2/m, No. 12
# Electronic total energy in eV per atom: -7.88
# Size of the total moment in Bohr magnetons per cell: 4.00